# MgReSnAs (PBE-GGA, relaxed)
# Offset from the most stable computed form ... 0.000 eV per formula unit
# Space-group type ... F-43m
data_MgReSnAs
_cell_length_a 4.651
_cell_length_b 4.651
_cell_length_c 4.651
_cell_angle_alpha 60.00
_cell_angle_beta 60.00
_cell_angle_gamma 60.00
_symmetry_space_group_name_H-M 'P 1'
_symmetry_Int_Tables_number 1
_symmetry_space_group_name_Hall 'P 1'
loop_
_atom_site_label
_atom_site_type_symbol
_atom_site_fract_x
_atom_site_fract_y
_atom_site_fract_z
As1 As 0.500 0.500 0.500
Mg1 Mg 0.750 0.750 0.750
Re1 Re 0.250 0.250 0.250
Sn1 Sn 0.000 0.000 0.000